VASP calculation (GGA-PBE) on a relaxed Na8Tl3In crystal. Values from VASP.

Output
The space-group type is Fmmm. For the total energy, the calculation gives -1.7526 eV per atom.

Cell and atoms, written as Quantum ESPRESSO input:
```
&SYSTEM
  ibrav = 0, nat = 12, ntyp = 3
/
ATOMIC_SPECIES
Na 22.99 Na.upf
Tl 204.38 Tl.upf
In 114.82 In.upf
ATOMIC_POSITIONS crystal
Na 0.0902 0.5914 0.9098
Na 0.1595 0.6608 0.3392
Na 0.3392 0.8405 0.1595
Na 0.4086 0.9098 0.5914
Na 0.5914 0.0902 0.4086
Na 0.6608 0.1595 0.8405
Na 0.8405 0.3392 0.6608
Na 0.9098 0.4086 0.0902
Tl 0.2500 0.2500 0.2500
Tl 0.5000 0.5000 0.5000
Tl 0.7500 0.7500 0.7500
In 0.0000 0.0000 0.0000
CELL_PARAMETERS angstrom
0.0000 5.8197 9.4721
3.2971 0.0000 9.4721
3.2971 5.8197 0.0000
```